Entry 1:
A plane-wave DFT calculation with GGA-PBE was carried out for a relaxed structure of Tb6ErTm2.

a = 6.5272 Å, b = 9.4991 Å, c = 9.4991 Å
α = 96.20°, β = 80.55°, γ = 80.55°
Fractional positions:
Tb (0.5035, 0.6475, 0.2798)
Tb (0.9965, 0.7202, 0.3525)
Tb (0.4965, 0.3525, 0.7202)
Tb (0.0035, 0.2798, 0.6475)
Tb (0.7249, 0.0610, 0.4610)
Tb (0.7751, 0.5390, 0.9390)
Tb (0.2751, 0.9390, 0.5390)
Tb (0.2249, 0.4610, 0.0610)
Tb (0.3164, 0.7777, 0.9538)
Tb (0.1836, 0.0462, 0.2223)
Tb (0.6836, 0.2223, 0.0462)
Tb (0.8164, 0.9538, 0.7777)
Er (0.2500, 0.1199, 0.8801)
Er (0.7500, 0.8801, 0.1199)
Tm (0.1337, 0.6186, 0.6643)
Tm (0.3663, 0.3357, 0.3814)
Tm (0.8663, 0.3814, 0.3357)
Tm (0.6337, 0.6643, 0.6186)

Values from the calculation:
uncorrected energy	-4.475	eV per atom
distance to the lowest polymorph of the same formula	94.2	meV per atom
D(E_F)	1.277	states/eV/atom


Entry 2:
A plane-wave DFT calculation with GGA-PBE was carried out for a relaxed structure of Tb2Er7Tm3.

a = 3.5457 Å, b = 5.7233 Å, c = 18.7049 Å
α = 98.80°, β = 90.00°, γ = 90.00°
Fractional positions:
Tb (0.0000, 0.8243, 0.6486)
Tb (0.0000, 0.1757, 0.3514)
Er (0.0000, 0.4279, 0.8557)
Er (0.0000, 0.7292, 0.4584)
Er (0.0000, 0.0000, 0.0000)
Er (0.0000, 0.5721, 0.1443)
Er (0.5000, 0.0901, 0.1801)
Er (0.5000, 0.9099, 0.8199)
Er (0.0000, 0.2708, 0.5416)
Tm (0.5000, 0.5000, 0.0000)
Tm (0.5000, 0.6496, 0.2992)
Tm (0.5000, 0.3504, 0.7008)

Values from the calculation:
uncorrected energy	-4.392	eV per atom
distance to the lowest polymorph of the same formula	0.0	meV per atom
D(E_F)	1.722	states/eV/atom


Entry 3:
A plane-wave DFT calculation with GGA-PBE was carried out for a relaxed structure of Tb7Er4Tm2.

a = 6.0373 Å, b = 6.0373 Å, c = 13.0389 Å
α = 90.00°, β = 90.00°, γ = 120.00°
Fractional positions:
Tb (0.0000, 0.6368, 0.7823)
Tb (0.0000, 0.3632, 0.2177)
Tb (0.0000, 0.0000, 0.0000)
Tb (0.6368, 0.0000, 0.7823)
Tb (0.3632, 0.0000, 0.2177)
Tb (0.6368, 0.6368, 0.2177)
Tb (0.3632, 0.3632, 0.7823)
Er (0.0000, 0.0000, 0.6073)
Er (0.0000, 0.0000, 0.3927)
Er (0.6667, 0.3333, 0.5000)
Er (0.3333, 0.6667, 0.5000)
Tm (0.6667, 0.3333, 0.0000)
Tm (0.3333, 0.6667, 0.0000)

Values from the calculation:
uncorrected energy	-4.411	eV per atom
D(E_F)	1.287	states/eV/atom


Entry 4:
A plane-wave DFT calculation with GGA-PBE was carried out for a relaxed structure of Tb4ErTm15.

a = 4.9443 Å, b = 4.9443 Å, c = 24.7157 Å
α = 90.00°, β = 90.00°, γ = 90.00°
Fractional positions:
Tb (0.0000, 0.0000, 0.1998)
Tb (0.0000, 0.0000, 0.3998)
Tb (0.0000, 0.0000, 0.6002)
Tb (0.0000, 0.0000, 0.8002)
Er (0.0000, 0.0000, 0.0000)
Tm (0.5000, 0.5000, 0.0000)
Tm (0.5000, 0.5000, 0.1995)
Tm (0.5000, 0.5000, 0.3999)
Tm (0.5000, 0.5000, 0.6001)
Tm (0.5000, 0.5000, 0.8005)
Tm (0.5000, 0.0000, 0.0995)
Tm (0.5000, 0.0000, 0.2997)
Tm (0.5000, 0.0000, 0.5000)
Tm (0.5000, 0.0000, 0.7003)
Tm (0.5000, 0.0000, 0.9005)
Tm (0.0000, 0.5000, 0.0995)
Tm (0.0000, 0.5000, 0.2997)
Tm (0.0000, 0.5000, 0.5000)
Tm (0.0000, 0.5000, 0.7003)
Tm (0.0000, 0.5000, 0.9005)

Values from the calculation:
uncorrected energy	-4.483	eV per atom
D(E_F)	1.334	states/eV/atom